[1]
## RbSrPd (GGA-PBE)

Data for a geometry-optimized RbSrPd structure.

The calculation puts the total energy at -0.102 Ha/atom. As for the formation energy: -171 meV per atom.

Cell lengths 5.1052, 5.1052, 12.7518 Å; angles 101.38, 101.38, 59.89 degrees
Element x y z (fractional)
Rb  0.1131  0.1131  0.3446
Rb  0.8869  0.8869  0.6554
Sr  0.3660  0.3660  0.0994
Sr  0.6340  0.6340  0.9006
Pd  0.2809  0.2809  0.8395
Pd  0.7191  0.7191  0.1605

[2]
## RbTa2Pd (GGA-PBE)

Data for a geometry-optimized RbTa2Pd structure.

The calculation puts the total energy at -0.220 Ha/atom. As for the formation energy: 1488 meV per atom. The relative energy among the computed polymorphs comes out at 0.028 eV/atom.

Cell lengths 9.9974, 9.9974, 9.9974 Å; angles 150.01, 150.01, 42.92 degrees
Element x y z (fractional)
Rb  0.3750  0.6250  0.7500
Rb  0.6250  0.3750  0.2500
Ta  0.0000  0.0000  0.0000
Ta  0.0000  0.0000  0.5000
Ta  0.0000  0.5000  0.0000
Ta  0.5000  0.0000  0.5000
Pd  0.1250  0.8750  0.2500
Pd  0.8750  0.1250  0.7500

[3]
## RbTa2Pd (GGA-PBE)

Data for a geometry-optimized RbTa2Pd structure.

The calculation puts the total energy at -0.221 Ha/atom. As for the formation energy: 1460 meV per atom. The relative energy among the computed polymorphs comes out at 0.000 eV/atom.

Cell lengths 4.7661, 4.7661, 4.7661 Å; angles 60.00, 60.00, 60.00 degrees
Element x y z (fractional)
Rb  0.0000  0.0000  0.0000
Ta  0.2500  0.2500  0.2500
Ta  0.7500  0.7500  0.7500
Pd  0.5000  0.5000  0.5000